Record 1
Here is SrPtIO2 after structural relaxation from the Alexandria database. Energies are from GGA-PBE.

Results
The space group is P4/mmm (123). For the energy relative to the lowest polymorph listed for this composition, the calculation gives 0.000 eV/atom. For the total DFT energy (no corrections), the calculation gives -4.413 eV per atom. The volume comes out at 20.06 A^3/atom. The calculation puts the formation energy without anion corrections at -0.575 eV per atom.

a = 4.375 Å, b = 4.375 Å, c = 5.240 Å
α = 90.00°, β = 90.00°, γ = 90.00°
Element x y z (fractional)
Sr1 0.000 0.000 0.000
Pt1 0.500 0.500 0.500
I1 0.500 0.500 0.000
O1 0.000 0.500 0.500
O2 0.500 0.000 0.500



Record 2
Here is Ho12FeSb6 after structural relaxation from the Alexandria database. Energies are from GGA-PBE.

Results
The space group is R-3 (148). For the total DFT energy (no corrections), the calculation gives -5.228 eV per atom. The volume comes out at 30.33 A^3/atom. The calculation puts the formation energy without anion corrections at -0.590 eV per atom.

a = 8.457 Å, b = 8.457 Å, c = 8.457 Å
α = 99.57°, β = 99.57°, γ = 99.57°
Element x y z (fractional)
Ho1 0.006 0.944 0.694
Ho2 0.056 0.306 0.994
Ho3 0.198 0.547 0.416
Ho4 0.306 0.994 0.056
Ho5 0.416 0.198 0.547
Ho6 0.453 0.584 0.802
Ho7 0.547 0.416 0.198
Ho8 0.584 0.802 0.453
Ho9 0.694 0.006 0.944
Ho10 0.802 0.453 0.584
Ho11 0.944 0.694 0.006
Ho12 0.994 0.056 0.306
Fe1 0.000 0.000 0.000
Sb1 0.119 0.315 0.646
Sb2 0.315 0.646 0.119
Sb3 0.354 0.881 0.685
Sb4 0.646 0.119 0.315
Sb5 0.685 0.354 0.881
Sb6 0.881 0.685 0.354



- Number 1 is which compound?
  SrPtIO2